No. 1
An optimized crystal structure of DyPaSi2Rh5. Source: Alexandria, functional PBE.

Summary:
As for the formation energy from raw total energies: -0.583 eV/atom.

abc: 3.987 3.987 11.017
angles: 90.00 90.00 90.00
Element x y z (fractional)
1 Pa 0.000 0.000 0.000
2 Si 0.000 0.000 0.292
3 Si 0.000 0.000 0.708
4 Rh 0.000 0.000 0.500
5 Rh 0.500 0.000 0.826
6 Rh 0.500 0.000 0.174
7 Rh 0.000 0.500 0.174
8 Rh 0.000 0.500 0.826
9 Dy 0.500 0.500 0.500

No. 2
An optimized crystal structure of SmDyPa2Rh4. Source: Alexandria, functional PBE.

Summary:
The value obtained for the formation energy is -0.69 eV/atom.

abc: 5.677 5.677 6.903
angles: 116.72 116.72 84.64
Element x y z (fractional)
1 Rh 0.638 0.638 0.470
2 Rh 0.018 0.410 0.000
3 Rh 0.410 0.018 0.000
4 Rh 0.168 0.168 0.530
5 Sm 0.928 0.928 0.000
6 Pa 0.662 0.162 0.500
7 Pa 0.162 0.662 0.500
8 Dy 0.511 0.511 0.000

No. 3
An optimized crystal structure of TbDyPa2Rh4. Source: Alexandria, functional PBE.

Summary:
The value obtained for the formation energy is -0.71 eV/atom.

abc: 5.659 5.659 6.882
angles: 116.65 116.65 84.77
Element x y z (fractional)
1 Tb 0.508 0.508 0.000
2 Dy 0.927 0.927 0.000
3 Rh 0.015 0.409 0.000
4 Rh 0.645 0.645 0.478
5 Rh 0.166 0.166 0.522
6 Rh 0.409 0.015 0.000
7 Pa 0.164 0.664 0.500
8 Pa 0.664 0.164 0.500

| no. | total DFT energy (no corrections) (eV/atom) |
| --- | --- |
| 1 | -7.439 |
| 2 | -7.902 |
| 3 | -7.909 |